No. 1
Density functional theory data (PBE-GGA) for an optimized crystal structure of Li5Ca2Cd.

```
Li5Ca2Cd
1.0
-3.0493 3.0493 6.1173
3.0493 -3.0493 6.1173
3.0493 3.0493 -6.1173
Li Ca Cd
5 2 1
Cartesian
0.0000 0.0000 0.0000
1.5422 1.5422 1.7386
1.5071 -1.5071 7.8559
-1.5071 1.5071 7.8559
1.5071 1.5071 7.8559
3.0493 0.0000 4.7274
0.0000 3.0493 4.7274
0.0000 0.0000 9.6373
```

Properties
**Symmetry**: I4mm
**E**: -1.80 eV per atom
**DOS(E_F)**: 7.5 states/eV/cell
**Calculated volume**: 227.52 Å³/cell
**Energy above the most stable polymorph in this dataset**: 0.63 eV/f.u.
**Formation energy from the elements**: 0.01 eV per atom
**M_tot**: 0.000 μB/cell


No. 2
Density functional theory data (PBE-GGA) for an optimized crystal structure of Li12Ca16Cd.

```
Li12Ca16Cd
1.0
6.1750 -8.3486 0.0000
6.1750 8.3486 0.0000
-5.2844 0.0000 9.1857
Li Ca Cd
12 16 1
Cartesian
0.0000 0.0000 0.0000
4.0895 6.7519 1.8133
2.7055 3.1105 6.6464
0.5779 1.5064 8.3383
8.0504 3.2637 0.5338
4.6732 1.5517 4.8418
0.5779 -1.5064 8.3383
4.6732 -1.5517 4.8418
2.7055 -3.1105 6.6464
4.0895 -6.7519 1.8133
7.0639 0.0000 6.1336
8.0504 -3.2637 0.5338
1.9313 5.3808 4.2103
-2.6514 1.9300 8.0224
-2.1105 0.0000 4.6496
-0.0342 5.2711 8.0405
1.1829 2.0132 2.2761
-2.6514 -1.9300 8.0224
4.7516 3.2641 1.9831
1.1829 -2.0132 2.2761
1.5489 0.0000 5.3941
5.4790 5.1341 5.2115
6.9408 0.0000 2.2179
4.7516 -3.2641 1.9831
1.9313 -5.3808 4.2103
-0.0342 -5.2711 8.0405
3.8693 0.0000 8.1816
5.4790 -5.1341 5.2115
3.7529 0.0000 1.3874
```

Properties
**Symmetry**: Cm
**E**: -1.92 eV per atom
**DOS(E_F)**: 21.0 states/eV/cell
**Calculated volume**: 947.10 Å³/cell
**Formation energy from the elements**: 0.01 eV per atom
**M_tot**: 0.000 μB/cell


Copy entry 2 word for word.
Density functional theory data (PBE-GGA) for an optimized crystal structure of Li12Ca16Cd.

```
Li12Ca16Cd
1.0
6.1750 -8.3486 0.0000
6.1750 8.3486 0.0000
-5.2844 0.0000 9.1857
Li Ca Cd
12 16 1
Cartesian
0.0000 0.0000 0.0000
4.0895 6.7519 1.8133
2.7055 3.1105 6.6464
0.5779 1.5064 8.3383
8.0504 3.2637 0.5338
4.6732 1.5517 4.8418
0.5779 -1.5064 8.3383
4.6732 -1.5517 4.8418
2.7055 -3.1105 6.6464
4.0895 -6.7519 1.8133
7.0639 0.0000 6.1336
8.0504 -3.2637 0.5338
1.9313 5.3808 4.2103
-2.6514 1.9300 8.0224
-2.1105 0.0000 4.6496
-0.0342 5.2711 8.0405
1.1829 2.0132 2.2761
-2.6514 -1.9300 8.0224
4.7516 3.2641 1.9831
1.1829 -2.0132 2.2761
1.5489 0.0000 5.3941
5.4790 5.1341 5.2115
6.9408 0.0000 2.2179
4.7516 -3.2641 1.9831
1.9313 -5.3808 4.2103
-0.0342 -5.2711 8.0405
3.8693 0.0000 8.1816
5.4790 -5.1341 5.2115
3.7529 0.0000 1.3874
```

Properties
**Symmetry**: Cm
**E**: -1.92 eV per atom
**DOS(E_F)**: 21.0 states/eV/cell
**Calculated volume**: 947.10 Å³/cell
**Formation energy from the elements**: 0.01 eV per atom
**M_tot**: 0.000 μB/cell